Entry from the Alexandria database: an optimized crystal structure of LiLa2ZnFe (PBE).

Structure (extended XYZ):
```
5
Lattice="-3.8329 0.7078 -3.3545 3.2450 -0.8746 -3.8923 -1.0536 -4.7790 0.1955" Properties=species:S:1:pos:R:3 pbc="T T T"
Zn -0.5268 -2.3895 0.0978
Li -0.8208 -2.4730 -3.5256
Fe 0.0000 0.0000 0.0000
La 1.6225 -0.4373 -1.9461
La -1.9164 0.3539 -1.6773
```

formation energy from the elements: 0.0149 eV/atom
symmetry: P4/mmm, No. 123
crystal system: tetragonal